(1)
Computed, not measured: an optimized crystal structure of Hg2OsPbS at the PBE level of DFT.

Computed properties:
As for the total energy: -2.35 eV per atom. Its uncorrected formation energy is 1.59 eV/atom. The crystal system is tetragonal. The value obtained for the density of states at the Fermi level is 5.17 states/eV/f.u.

```
data_Hg2OsPbS
_chemical_formula_sum 'Hg2 Os1 Pb1 S1'
_cell_length_a 5.784
_cell_length_b 5.784
_cell_length_c 5.266
_cell_angle_alpha 90.00
_cell_angle_beta 90.00
_cell_angle_gamma 90.00
_space_group_name_H-M_alt 'P 4/m m m'
_space_group_IT_number 123
_space_group_name_Hall '-P 4 2'
loop_
_atom_site_label
_atom_site_type_symbol
_atom_site_fract_x
_atom_site_fract_y
_atom_site_fract_z
Hg1 Hg 0.000 0.500 0.000
Os1 Os 0.000 0.000 0.500
Pb1 Pb 0.000 0.000 0.000
S1 S 0.500 0.500 0.500
```

***

(2)
Computed, not measured: an optimized crystal structure of HgSbOs2Pb at the PBE level of DFT.

Computed properties:
As for the total energy: -4.47 eV per atom. Its uncorrected formation energy is 1.65 eV/atom. The crystal system is tetragonal. The value obtained for the density of states at the Fermi level is 5.81 states/eV/f.u.

```
data_HgSbOs2Pb
_chemical_formula_sum 'Hg1 Sb1 Os2 Pb1'
_cell_length_a 4.926
_cell_length_b 4.926
_cell_length_c 5.469
_cell_angle_alpha 90.00
_cell_angle_beta 90.00
_cell_angle_gamma 90.00
_space_group_name_H-M_alt 'P 4/m m m'
_space_group_IT_number 123
_space_group_name_Hall '-P 4 2'
loop_
_atom_site_label
_atom_site_type_symbol
_atom_site_fract_x
_atom_site_fract_y
_atom_site_fract_z
Hg1 Hg 0.000 0.000 0.000
Sb1 Sb 0.000 0.000 0.500
Os1 Os 0.000 0.500 0.500
Pb1 Pb 0.500 0.500 0.000
```

***

(3)
Computed, not measured: an optimized crystal structure of TaHgOs2Pb at the PBE level of DFT.

Computed properties:
As for the total energy: -4.90 eV per atom. The formation energy is 2760 meV per atom. The crystal system is tetragonal. The value obtained for the density of states at the Fermi level is 7.28 states/eV/f.u.

```
data_TaHgOs2Pb
_chemical_formula_sum 'Ta1 Hg1 Os2 Pb1'
_cell_length_a 4.955
_cell_length_b 4.955
_cell_length_c 5.148
_cell_angle_alpha 90.00
_cell_angle_beta 90.00
_cell_angle_gamma 90.00
_space_group_name_H-M_alt 'P 4/m m m'
_space_group_IT_number 123
_space_group_name_Hall '-P 4 2'
loop_
_atom_site_label
_atom_site_type_symbol
_atom_site_fract_x
_atom_site_fract_y
_atom_site_fract_z
Ta1 Ta 0.000 0.000 0.000
Hg1 Hg 0.500 0.500 0.000
Os1 Os 0.000 0.500 0.500
Pb1 Pb 0.000 0.000 0.500
```

***

(4)
Computed, not measured: an optimized crystal structure of Ti2HgOsPb at the PBE level of DFT.

Computed properties:
As for the total energy: -4.56 eV per atom. The formation energy is 1648 meV per atom. The crystal system is tetragonal. The value obtained for the density of states at the Fermi level is 5.11 states/eV/f.u.

```
data_Ti2HgOsPb
_chemical_formula_sum 'Ti2 Hg1 Os1 Pb1'
_cell_length_a 5.071
_cell_length_b 5.071
_cell_length_c 4.957
_cell_angle_alpha 90.00
_cell_angle_beta 90.00
_cell_angle_gamma 90.00
_space_group_name_H-M_alt 'P 4/m m m'
_space_group_IT_number 123
_space_group_name_Hall '-P 4 2'
loop_
_atom_site_label
_atom_site_type_symbol
_atom_site_fract_x
_atom_site_fract_y
_atom_site_fract_z
Ti1 Ti 0.000 0.500 0.000
Hg1 Hg 0.000 0.000 0.500
Os1 Os 0.500 0.500 0.500
Pb1 Pb 0.500 0.500 0.000
```

***

(5)
Computed, not measured: an optimized crystal structure of Hg2OsPd at the PBE level of DFT.

Computed properties:
As for the total energy: -3.35 eV per atom. The formation energy is 907 meV per atom. The crystal system is tetragonal. The value obtained for the density of states at the Fermi level is 4.07 states/eV/f.u.

```
data_Hg2OsPd
_chemical_formula_sum 'Hg8 Os4 Pd4'
_cell_length_a 4.036
_cell_length_b 4.036
_cell_length_c 19.451
_cell_angle_alpha 90.00
_cell_angle_beta 90.00
_cell_angle_gamma 90.00
_space_group_name_H-M_alt 'I -4 2 d'
_space_group_IT_number 122
_space_group_name_Hall 'I -4 2bw'
loop_
_atom_site_label
_atom_site_type_symbol
_atom_site_fract_x
_atom_site_fract_y
_atom_site_fract_z
Hg1 Hg 0.247 0.250 0.125
Os1 Os 0.000 0.000 0.000
Pd1 Pd 0.000 0.000 0.500
```

***

(6)
Computed, not measured: an optimized crystal structure of Hg2OsPd at the PBE level of DFT.

Computed properties:
As for the total energy: -3.59 eV per atom. The formation energy is 663 meV per atom. The crystal system is cubic. The value obtained for the density of states at the Fermi level is 4.96 states/eV/f.u.

```
data_Hg2OsPd
_chemical_formula_sum 'Hg8 Os4 Pd4'
_cell_length_a 6.575
_cell_length_b 6.575
_cell_length_c 6.575
_cell_angle_alpha 90.00
_cell_angle_beta 90.00
_cell_angle_gamma 90.00
_space_group_name_H-M_alt 'F m -3 m'
_space_group_IT_number 225
_space_group_name_Hall '-F 4 2 3'
loop_
_atom_site_label
_atom_site_type_symbol
_atom_site_fract_x
_atom_site_fract_y
_atom_site_fract_z
Hg1 Hg 0.250 0.250 0.250
Os1 Os 0.000 0.000 0.000
Pd1 Pd 0.000 0.000 0.500
```

***

(7)
Computed, not measured: an optimized crystal structure of HgOsPd2 at the PBE level of DFT.

Computed properties:
As for the total energy: -4.68 eV per atom. The formation energy is 804 meV per atom. The crystal system is tetragonal. The value obtained for the density of states at the Fermi level is 4.84 states/eV/f.u.

```
data_HgOsPd2
_chemical_formula_sum 'Hg4 Os4 Pd8'
_cell_length_a 3.940
_cell_length_b 3.940
_cell_length_c 18.436
_cell_angle_alpha 90.00
_cell_angle_beta 90.00
_cell_angle_gamma 90.00
_space_group_name_H-M_alt 'I -4 2 d'
_space_group_IT_number 122
_space_group_name_Hall 'I -4 2bw'
loop_
_atom_site_label
_atom_site_type_symbol
_atom_site_fract_x
_atom_site_fract_y
_atom_site_fract_z
Hg1 Hg 0.000 0.000 0.000
Os1 Os 0.000 0.000 0.500
Pd1 Pd 0.231 0.250 0.625
```

***

(8)
Computed, not measured: an optimized crystal structure of HgOs3Pd at the PBE level of DFT.

Computed properties:
As for the total energy: -5.20 eV per atom. The formation energy is 2635 meV per atom. The crystal system is cubic. The value obtained for the density of states at the Fermi level is 4.16 states/eV/f.u.

```
data_HgOs3Pd
_chemical_formula_sum 'Hg1 Os3 Pd1'
_cell_length_a 4.783
_cell_length_b 4.783
_cell_length_c 4.783
_cell_angle_alpha 90.00
_cell_angle_beta 90.00
_cell_angle_gamma 90.00
_space_group_name_H-M_alt 'P m -3 m'
_space_group_IT_number 221
_space_group_name_Hall '-P 4 2 3'
loop_
_atom_site_label
_atom_site_type_symbol
_atom_site_fract_x
_atom_site_fract_y
_atom_site_fract_z
Hg1 Hg 0.000 0.000 0.000
Os1 Os 0.000 0.500 0.500
Pd1 Pd 0.500 0.500 0.500
```

***

(9)
Computed, not measured: an optimized crystal structure of RbHgOsPd2 at the PBE level of DFT.

Computed properties:
As for the total energy: -2.82 eV per atom. The formation energy is 1752 meV per atom. The crystal system is tetragonal. The value obtained for the density of states at the Fermi level is 5.96 states/eV/f.u.

```
data_RbHgOsPd2
_chemical_formula_sum 'Rb1 Hg1 Os1 Pd2'
_cell_length_a 5.157
_cell_length_b 5.157
_cell_length_c 5.901
_cell_angle_alpha 90.00
_cell_angle_beta 90.00
_cell_angle_gamma 90.00
_space_group_name_H-M_alt 'P 4/m m m'
_space_group_IT_number 123
_space_group_name_Hall '-P 4 2'
loop_
_atom_site_label
_atom_site_type_symbol
_atom_site_fract_x
_atom_site_fract_y
_atom_site_fract_z
Rb1 Rb 0.000 0.000 0.000
Hg1 Hg 0.000 0.000 0.500
Os1 Os 0.500 0.500 0.000
Pd1 Pd 0.000 0.500 0.500
```

***

(10)
Computed, not measured: an optimized crystal structure of Sc2HgOsPd at the PBE level of DFT.

Computed properties:
As for the total energy: -5.14 eV per atom. The formation energy is 739 meV per atom. The crystal system is tetragonal. The value obtained for the density of states at the Fermi level is 3.73 states/eV/f.u.

```
data_Sc2HgOsPd
_chemical_formula_sum 'Sc2 Hg1 Os1 Pd1'
_cell_length_a 4.872
_cell_length_b 4.872
_cell_length_c 4.938
_cell_angle_alpha 90.00
_cell_angle_beta 90.00
_cell_angle_gamma 90.00
_space_group_name_H-M_alt 'P 4/m m m'
_space_group_IT_number 123
_space_group_name_Hall '-P 4 2'
loop_
_atom_site_label
_atom_site_type_symbol
_atom_site_fract_x
_atom_site_fract_y
_atom_site_fract_z
Sc1 Sc 0.000 0.500 0.000
Hg1 Hg 0.000 0.000 0.500
Os1 Os 0.500 0.500 0.500
Pd1 Pd 0.000 0.000 0.000
```